First-principles (GGA-PBE) data for a relaxed structure of Ti2Fe2W, as listed in Alexandria via LeMat-Bulk.

Cell: 6.848 6.848 2.956 Å, 90.00 90.00 90.00°
Space group P4/mbm (No. 127)
Symmetry-distinct sites (fractional):
Ti 0.162 0.338 0.000 [4 per cell]
Fe 0.136 0.636 0.500 [4 per cell]
W 0.000 0.000 0.500 [2 per cell]

Properties
The calculated formation energy is 0.03 eV/atom. For the total energy, the calculation gives -9.0987 eV per atom. As for the crystal system: tetragonal.